1.
Density functional theory data (PBE-GGA) for a relaxed LiGa8Cu2 crystal.

Calculated values
Total moment ... 0.00 μB/f.u.

a b c (Å): 7.0051 11.2173 4.9332
angles (deg): 90.00 99.13 90.00
Space group C2/m (No. 12)
Symmetry-distinct sites (fractional):
1 Li 0.0000 0.0000 0.0000 [2 per cell]
2 Ga 0.0000 0.2545 0.0000 [4 per cell]
3 Ga 0.1185 0.5000 0.7972 [4 per cell]
4 Ga 0.1918 0.1192 0.6467 [8 per cell]
5 Cu 0.0000 0.3129 0.5000 [4 per cell]

2.
Density functional theory data (PBE-GGA) for a relaxed MnIn2Tc crystal.

Calculated values
Total moment ... 3.45 μB/f.u.
Offset from the most stable computed form ... 71 meV/atom

a b c (Å): 4.4262 4.4262 3.5614
angles (deg): 90.00 90.00 90.00
Space group P4/mmm (No. 123)
Symmetry-distinct sites (fractional):
1 Mn 0.0000 0.0000 0.0000 [1 per cell]
2 In 0.0000 0.5000 0.5000 [2 per cell]
3 Tc 0.5000 0.5000 0.0000 [1 per cell]

3.
Density functional theory data (PBE-GGA) for a relaxed Ba6Pt2SI3 crystal.

Calculated values
Total moment ... 1.15 μB/f.u.
Uncorrected formation energy ... -1.33 eV per atom

a b c (Å): 8.1033 14.0269 8.9751
angles (deg): 90.00 107.57 90.00
Space group C2/m (No. 12)
Symmetry-distinct sites (fractional):
1 Ba 0.2298 0.0000 0.1994 [4 per cell]
2 Ba 0.2339 0.3319 0.1996 [8 per cell]
3 Pt 0.0000 0.1668 0.0000 [4 per cell]
4 S 0.0000 0.5000 0.0000 [2 per cell]
5 I 0.0000 0.0000 0.5000 [2 per cell]
6 I 0.0000 0.3353 0.5000 [4 per cell]

4.
Density functional theory data (PBE-GGA) for a relaxed Rb4Ag3Cl10 crystal.

Calculated values
Total moment ... 0.00 μB/f.u.
Uncorrected formation energy ... -1.15 eV per atom

a b c (Å): 5.1444 5.1444 37.0547
angles (deg): 90.00 90.00 90.00
Space group I4/mmm (No. 139)
Symmetry-distinct sites (fractional):
1 Rb 0.0000 0.0000 0.0685 [4 per cell]
2 Rb 0.0000 0.0000 0.2005 [4 per cell]
3 Ag 0.0000 0.0000 0.3603 [4 per cell]
4 Ag 0.0000 0.0000 0.5000 [2 per cell]
5 Cl 0.0000 0.0000 0.2897 [4 per cell]
6 Cl 0.0000 0.0000 0.4311 [4 per cell]
7 Cl 0.0000 0.5000 0.0000 [4 per cell]
8 Cl 0.0000 0.5000 0.1371 [8 per cell]

5.
Density functional theory data (PBE-GGA) for a relaxed Na7Tl4In crystal.

Calculated values
Total moment ... 0.00 μB/f.u.
Offset from the most stable computed form ... 0 meV/atom

a b c (Å): 5.4566 5.4566 13.4625
angles (deg): 90.00 90.00 120.00
Space group P-3m1 (No. 164)
Symmetry-distinct sites (fractional):
1 Na 0.0000 0.0000 0.0000 [1 per cell]
2 Na 0.0000 0.0000 0.2582 [2 per cell]
3 Na 0.3333 0.6667 0.1553 [2 per cell]
4 Na 0.3333 0.6667 0.4207 [2 per cell]
5 Tl 0.3333 0.6667 0.6627 [2 per cell]
6 Tl 0.3333 0.6667 0.9071 [2 per cell]
7 In 0.0000 0.0000 0.5000 [1 per cell]

6.
Density functional theory data (PBE-GGA) for a relaxed Pr2NdAg2Pb2 crystal.

Calculated values
Total moment ... 0.00 μB/f.u.

a b c (Å): 4.9974 4.9974 27.1472
angles (deg): 90.00 90.00 120.00
Space group R-3m (No. 166, hexagonal axes)
Symmetry-distinct sites (fractional):
1 Pr 0.0000 0.0000 0.1361 [6 per cell]
2 Nd 0.0000 0.0000 0.0000 [3 per cell]
3 Ag 0.0000 0.0000 0.4348 [6 per cell]
4 Pb 0.0000 0.0000 0.2686 [6 per cell]

no.,calculated total energy (Ry per atom)
1,-0.2319
2,-0.4401
3,-0.2960
4,-0.2183
5,-0.1380
6,-0.3096